{"formula": "Cs3Rb2ReO6", "functional": "PBE", "state": "optimized geometry", "vol_a3_per_cell": 257.3, "energy_ev_per_cell": -65.53, "raw_formation_energy_ev_per_fu": -18.83, "cell": [[-4.559, 4.643, 2.044], [-2.021, -5.441, -3.581], [1.246, -2.997, 5.935]], "species": ["Rb", "Rb", "O", "O", "O", "O", "O", "O", "Cs", "Cs", "Cs", "Re"], "frac_coords": [[0.333, 0.667, 0.000], [0.667, 0.333, 0.000], [0.711, 0.941, 0.828], [0.828, 0.828, 0.179], [0.172, 0.172, 0.821], [0.941, 0.711, 0.828], [0.289, 0.059, 0.172], [0.059, 0.289, 0.172], [0.835, 0.165, 0.500], [0.500, 0.500, 0.500], [0.165, 0.835, 0.500], [0.000, 0.000, 0.000]]}



{"formula": "MnCuNi2", "functional": "PBE", "state": "optimized geometry", "vol_a3_per_cell": 47.8, "ef_ev_per_atom": 0.08, "energy_ev_per_cell": -24.53, "cell": [[-0.443, -2.539, -0.774], [-0.206, -0.748, 2.577], [-6.488, 1.184, -0.174]], "species": ["Mn", "Ni", "Ni", "Cu"], "frac_coords": [[0.500, 0.500, 0.758], [0.000, 0.000, 0.006], [0.500, 0.500, 0.246], [0.000, 0.000, 0.490]]}